# 1
First-principles (PBE-GGA) data for crystalline PrYEr5 at its relaxed geometry, as listed in Alexandria via LeMat-Bulk.

The space group is C2/c (No. 15) and the conventional cell measures 11.606, 6.809 and 12.144 Å, with angles of 90.00, 109.30 and 90.00 degrees. The inequivalent atoms are Pr at (0.250, 0.250, 0.000), Y at (0.000, 0.029, 0.250), Er at (0.000, 0.416, 0.750), Er at (0.078, 0.279, 0.499) and Er at (0.222, 0.359, 0.253).

For the energy above the most stable polymorph in this dataset, the calculation gives 0 kJ/mol of formula units. The value obtained for the energy relative to the elements is 1.4 eV/f.u. For the total energy, the calculation gives -130.66 eV/cell.

# 2
First-principles (PBE-GGA) data for crystalline Pr2Y9Er at its relaxed geometry, as listed in Alexandria via LeMat-Bulk.

The space group is P4/mmm (No. 123) and the conventional cell measures 5.079, 5.079 and 15.228 Å, with angles of 90.00, 90.00 and 90.00 degrees. The inequivalent atoms are Pr at (0.000, 0.000, 0.167), Y at (0.000, 0.500, 0.000), Y at (0.000, 0.500, 0.336), Y at (0.500, 0.500, 0.169), Y at (0.500, 0.500, 0.500) and Er at (0.000, 0.000, 0.500).

The value obtained for the energy relative to the elements is 0.3 eV/f.u. For the total energy, the calculation gives -72.00 eV/cell.